LiCeN: optimized geometry, PBE.

## Properties
Magnetic moment (μB/f.u.): 1.0
E_form (uncorrected) (meV/atom): -663

abc: 3.4711 3.4711 5.8607
angles: 90.00 90.00 120.00
Atoms (fractional coordinates):
Li1 0.0000 0.0000 0.0000
Ce1 0.3333 0.6667 0.5971
N1 0.6667 0.3333 0.7859

Sm4C2Cl: optimized geometry, PBE.

## Properties
Magnetic moment (μB/f.u.): 0.0
E_form (uncorrected) (meV/atom): -664

abc: 13.7539 13.7539 13.7539
angles: 15.43 15.43 15.43
Atoms (fractional coordinates):
Sm1 0.1210 0.1210 0.1210
Sm2 0.2797 0.2797 0.2797
Sm3 0.7203 0.7203 0.7203
Sm4 0.8790 0.8790 0.8790
C1 0.4194 0.4194 0.4194
C2 0.5806 0.5806 0.5806
Cl1 0.0000 0.0000 0.0000

CsAg2HgAu: optimized geometry, PBE.

## Properties
E_form (eV/atom): 0.0316
Magnetic moment (μB/f.u.): 0.0

abc: 5.4393 5.4393 5.4691
angles: 90.00 90.00 90.00
Atoms (fractional coordinates):
Cs1 0.0000 0.0000 0.0000
Ag1 0.0000 0.5000 0.5000
Ag2 0.5000 0.0000 0.5000
Hg1 0.5000 0.5000 0.0000
Au1 0.5000 0.5000 0.5000

CaMn2Ga9: optimized geometry, PBE.

## Properties
E_form (eV/atom): -0.1947
Magnetic moment (μB/f.u.): 0.0

abc: 8.3097 8.3097 3.4232
angles: 90.00 90.00 120.00
Atoms (fractional coordinates):
Ca1 0.0000 0.0000 0.0000
Mn1 0.3333 0.6667 0.0000
Mn2 0.6667 0.3333 0.0000
Ga1 0.0000 0.5000 0.0000
Ga2 0.1973 0.3947 0.5000
Ga3 0.1973 0.8027 0.5000
Ga4 0.3947 0.1973 0.5000
Ga5 0.5000 0.0000 0.0000
Ga6 0.5000 0.5000 0.0000
Ga7 0.6053 0.8027 0.5000
Ga8 0.8027 0.1973 0.5000
Ga9 0.8027 0.6053 0.5000

AlIrSe2: optimized geometry, PBE.

## Properties
Magnetic moment (μB/f.u.): 0.0
E_form (uncorrected) (meV/atom): 188

abc: 5.2770 10.2465 3.2690
angles: 90.00 127.13 90.00
Atoms (fractional coordinates):
Al1 0.0000 0.0000 0.0000
Al2 0.5000 0.5000 0.0000
Ir1 0.0000 0.5000 0.0000
Ir2 0.5000 0.0000 0.0000
Se1 0.2500 0.2500 0.0000
Se2 0.2500 0.7500 0.0000
Se3 0.7500 0.2500 0.0000
Se4 0.7500 0.7500 0.0000

LaPm5Dy4: optimized geometry, PBE.

## Properties
E_form (eV/atom): 0.1113
Magnetic moment (μB/f.u.): 0.0

abc: 4.2315 4.2315 18.8116
angles: 90.00 90.00 90.00
Atoms (fractional coordinates):
La1 0.0000 0.0000 0.0000
Pm1 0.5000 0.5000 0.1083
Pm2 0.5000 0.5000 0.3021
Pm3 0.5000 0.5000 0.5000
Pm4 0.5000 0.5000 0.6979
Pm5 0.5000 0.5000 0.8917
Dy1 0.0000 0.0000 0.2024
Dy2 0.0000 0.0000 0.4012
Dy3 0.0000 0.0000 0.5988
Dy4 0.0000 0.0000 0.7976

Hf4CoP: optimized geometry, PBE.

## Properties
E_form (eV/atom): -0.3927
Magnetic moment (μB/f.u.): 0.0

abc: 7.5056 7.5056 6.0544
angles: 107.71 107.71 118.68
Atoms (fractional coordinates):
Hf1 0.0693 0.6567 0.8900
Hf2 0.2330 0.3357 0.7644
Hf3 0.3357 0.2330 0.2644
Hf4 0.3433 0.9307 0.6100
Hf5 0.6567 0.0693 0.3900
Hf6 0.6643 0.7670 0.7356
Hf7 0.7670 0.6643 0.2356
Hf8 0.9307 0.3433 0.1100
Co1 0.3785 0.6215 0.2500
Co2 0.6215 0.3785 0.7500
P1 0.0596 0.9404 0.7500
P2 0.9404 0.0596 0.2500

ScCuS2: optimized geometry, PBE.

## Properties
Magnetic moment (μB/f.u.): 0.0
E_form (uncorrected) (meV/atom): -1156

abc: 5.4596 5.4596 11.3769
angles: 90.00 90.00 90.00
Atoms (fractional coordinates):
Sc1 0.0000 0.0000 0.0000
Sc2 0.0000 0.5000 0.2500
Sc3 0.5000 0.0000 0.7500
Sc4 0.5000 0.5000 0.5000
Cu1 0.0000 0.0000 0.5000
Cu2 0.0000 0.5000 0.7500
Cu3 0.5000 0.0000 0.2500
Cu4 0.5000 0.5000 0.0000
S1 0.2300 0.2500 0.6250
S2 0.2500 0.7300 0.8750
S3 0.2500 0.7700 0.3750
S4 0.2700 0.2500 0.1250
S5 0.7300 0.7500 0.1250
S6 0.7500 0.2300 0.3750
S7 0.7500 0.2700 0.8750
S8 0.7700 0.7500 0.6250

K5BiSe4: optimized geometry, PBE.

## Properties
Magnetic moment (μB/f.u.): 0.0
E_form (uncorrected) (meV/atom): -890

abc: 10.2464 10.2464 8.5670
angles: 114.68 114.68 26.71
Atoms (fractional coordinates):
K1 0.0000 0.0000 0.0000
K2 0.3282 0.3282 0.0841
K3 0.3279 0.3279 0.5710
K4 0.6721 0.6721 0.4290
K5 0.6718 0.6718 0.9159
Bi1 0.0000 0.0000 0.5000
Se1 0.1778 0.1778 0.6782
Se2 0.5002 0.5002 0.2672
Se3 0.4998 0.4998 0.7328
Se4 0.8222 0.8222 0.3218